Here is crystalline BiPt2W at its relaxed geometry from Alexandria. Energies are from PBE.

ρ = 16.57 g/cm³
Raw total energy = -6.882 eV per atom

a b c (Å): 7.463 7.463 5.635
angles (deg): 90.00 90.00 90.00
Space group I-42d (No. 122)
Symmetry-distinct sites (fractional):
Bi1 0.000 0.000 0.000 x4
Pt1 0.229 0.250 0.625 x8
W1 0.000 0.000 0.500 x4